1.
## AlPb3 (PBEsol)

Data for AlPb3 after structural relaxation.

## Properties
For the magnetization, the calculation gives 0.00 μB/atom. Its uncorrected energy is -3.864 eV per atom. The value obtained for the density of states at the Fermi level is 2.14 states/eV/f.u. For the calculated formation energy, the calculation gives 158 meV/atom. For the energy above the most stable polymorph in this dataset, the calculation gives 0.025 eV per atom.

a b c (Å): 6.4266 6.4266 6.4266
angles (deg): 148.39 128.88 61.36
Sites, in units of the cell vectors:
Al 0.0000 0.0000 0.0000
Pb 0.2237 0.7237 0.5000
Pb 0.5000 0.5000 0.0000
Pb 0.7763 0.2763 0.5000

=====

2.
## AlPb (PBEsol)

Data for AlPb after structural relaxation.

## Properties
For the magnetization, the calculation gives 0.00 μB/atom. Its uncorrected energy is -3.714 eV per atom. The value obtained for the density of states at the Fermi level is 1.29 states/eV/f.u. For the calculated formation energy, the calculation gives 331 meV/atom.

a b c (Å): 4.1325 4.1325 4.1325
angles (deg): 60.00 60.00 60.00
Sites, in units of the cell vectors:
Al 0.0000 0.0000 0.0000
Pb 0.5000 0.5000 0.5000

=====

3.
## Al2Pb (PBEsol)

Data for Al2Pb after structural relaxation.

## Properties
For the magnetization, the calculation gives 0.00 μB/atom. Its uncorrected energy is -3.844 eV per atom. The value obtained for the density of states at the Fermi level is 1.53 states/eV/f.u. For the calculated formation energy, the calculation gives 217 meV/atom.

a b c (Å): 6.6406 6.6406 6.6406
angles (deg): 151.98 151.98 40.04
Sites, in units of the cell vectors:
Al 0.1853 0.1853 0.0000
Al 0.8147 0.8147 0.0000
Pb 0.5000 0.5000 0.0000

=====

4.
## Al3Pb2 (PBEsol)

Data for Al3Pb2 after structural relaxation.

## Properties
For the magnetization, the calculation gives 0.00 μB/atom. Its uncorrected energy is -3.726 eV per atom. The value obtained for the density of states at the Fermi level is 2.53 states/eV/f.u. For the calculated formation energy, the calculation gives 329 meV/atom.

a b c (Å): 4.2759 4.2759 7.8199
angles (deg): 90.00 90.00 120.00
Sites, in units of the cell vectors:
Al 0.0000 0.0000 0.0000
Al 0.3333 0.6667 0.4215
Al 0.6667 0.3333 0.5785
Pb 0.3333 0.6667 0.7966
Pb 0.6667 0.3333 0.2034

=====

5.
## AlPb2 (PBEsol)

Data for AlPb2 after structural relaxation.

## Properties
For the magnetization, the calculation gives 0.00 μB/atom. Its uncorrected energy is -3.768 eV per atom. The value obtained for the density of states at the Fermi level is 1.62 states/eV/f.u. For the calculated formation energy, the calculation gives 262 meV/atom.

a b c (Å): 4.3576 4.3576 5.0240
angles (deg): 90.00 90.00 120.00
Sites, in units of the cell vectors:
Al 0.0000 0.0000 0.0000
Pb 0.3333 0.6667 0.2839
Pb 0.6667 0.3333 0.7161

=====

6.
## AlPb3 (PBEsol)

Data for AlPb3 after structural relaxation.

## Properties
For the magnetization, the calculation gives 0.00 μB/atom. Its uncorrected energy is -3.877 eV per atom. The value obtained for the density of states at the Fermi level is 2.11 states/eV/f.u. For the calculated formation energy, the calculation gives 145 meV/atom. For the energy above the most stable polymorph in this dataset, the calculation gives 0.012 eV per atom.

a b c (Å): 10.9306 10.9306 10.9306
angles (deg): 17.93 17.93 17.93
Sites, in units of the cell vectors:
Al 0.0000 0.0000 0.0000
Pb 0.2583 0.2583 0.2583
Pb 0.5000 0.5000 0.5000
Pb 0.7417 0.7417 0.7417